A plane-wave DFT calculation with GGA-PBE was carried out for a relaxed MgMnSCl2 crystal.

Results
The total DFT energy (no corrections) comes out at -21.62 eV/f.u. Its energy above the most stable polymorph in this dataset is 0 meV per atom.

abc: 4.774 4.774 4.877
angles: 90.00 90.00 90.00
Sites, in units of the cell vectors:
1 Mg 0.000 0.000 0.000
2 Mn 0.500 0.500 0.500
3 S 0.500 0.500 0.000
4 Cl 0.000 0.500 0.500
5 Cl 0.500 0.000 0.500



A plane-wave DFT calculation with GGA-PBE was carried out for a relaxed MgMnS2Cl crystal.

Results
The total DFT energy (no corrections) comes out at -22.99 eV/f.u. Its energy above the most stable polymorph in this dataset is 0 meV per atom.

abc: 4.710 4.710 4.634
angles: 90.00 90.00 90.00
Sites, in units of the cell vectors:
1 Mg 0.000 0.000 0.000
2 Mn 0.500 0.500 0.500
3 S 0.000 0.500 0.500
4 S 0.500 0.000 0.500
5 Cl 0.500 0.500 0.000



A plane-wave DFT calculation with GGA-PBE was carried out for a relaxed Mg2MnSeCl crystal.

Results
The total DFT energy (no corrections) comes out at -15.90 eV/f.u.

abc: 4.604 4.604 6.267
angles: 90.00 90.00 90.00
Sites, in units of the cell vectors:
1 Mg 0.000 0.500 0.000
2 Mg 0.500 0.000 0.000
3 Mn 0.000 0.000 0.500
4 Se 0.500 0.500 0.500
5 Cl 0.500 0.500 0.000